80
Lattice="14.945 0.000 0.000 -4.982 14.091 0.000 -4.982 -7.045 12.203" Properties=species:S:1:pos:R:3 comment="Mg3Hg12Pb5 | Alexandria via LeMat-Bulk | PBE-GGA | optimized geometry" final_energy_ev_per_cell=-96.65 e_form_ev_per_atom=0.139 pbc="T T T"
Mg 11.209 0.000 3.051
Pb -1.245 11.449 1.525
Hg -2.475 3.557 7.834
Pb -3.736 7.926 4.576
Pb 6.227 6.165 4.576
Hg 1.688 0.835 7.292
Hg 9.948 -3.557 7.834
Mg 3.736 0.000 9.152
Hg 5.545 6.393 9.280
Hg 9.979 1.483 0.896
Hg 7.457 12.607 0.896
Hg 2.507 9.050 5.265
Hg -2.267 -0.204 10.176
Hg 2.715 8.903 0.836
Hg 9.401 0.665 5.205
Pb 4.982 -3.523 6.101
Hg -0.016 5.041 5.265
Hg -2.475 -5.562 11.306
Hg 8.035 -0.653 2.923
Hg 10.188 6.841 2.027
Pb 3.736 10.568 3.051
Hg 2.715 5.392 1.190
Pb 4.982 7.045 0.000
Pb -1.245 3.523 3.051
Hg -4.419 6.380 6.998
Hg 6.670 2.375 1.733
Hg -0.803 7.880 4.911
Pb 7.473 0.000 0.000
Hg -5.785 3.836 9.025
Hg -1.688 4.670 10.470
Hg 1.928 5.728 8.128
Hg -0.563 0.653 2.923
Mg 3.736 7.926 7.627
Pb 3.736 2.642 1.525
Hg 7.457 3.488 4.369
Hg 4.419 -1.317 4.075
Hg -4.966 10.603 4.369
Hg 5.206 1.857 11.367
Hg 2.267 -1.857 11.367
Mg 8.718 4.403 1.525
Mg 1.245 -0.881 4.576
Pb 0.000 0.000 0.000
Pb 1.245 4.403 10.677
Pb -1.245 0.881 7.627
Hg -1.928 -0.665 5.205
Mg -1.245 6.165 7.627
Mg -3.736 -2.642 10.677
Mg 1.245 7.045 3.051
Hg 3.054 1.317 4.075
Mg 6.227 0.881 4.576
Hg 3.294 6.211 4.911
Hg 9.161 -4.670 10.470
Hg 10.766 3.210 3.178
Mg 8.718 9.687 1.525
Pb 2.491 3.523 6.101
Hg -4.179 11.716 1.733
Pb 8.718 -0.881 7.627
Hg 6.910 7.710 6.998
Hg -5.206 0.204 10.176
Pb -2.491 7.045 0.000
Hg -1.688 -3.836 9.025
Hg -0.224 5.188 0.836
Hg 4.998 2.005 6.938
Pb 6.227 3.523 9.152
Hg -0.224 8.698 1.190
Pb 6.227 -4.403 10.677
Hg -3.054 7.698 9.280
Mg -6.227 7.045 9.152
Hg 2.267 1.653 11.012
Mg -3.736 2.642 10.677
Pb -2.491 -3.523 6.101
Hg 2.475 -2.005 6.938
Hg 6.670 10.881 3.178
Pb 1.245 -3.523 9.152
Hg 5.785 -0.835 7.292
Hg 0.563 8.363 8.128
Hg 7.249 7.250 2.027
Pb -4.982 3.523 6.101
Hg -4.998 5.562 11.306
Hg 5.206 -1.653 11.012